[1]
GGA-PBE Pr3CuSi, relaxed; space group = P-1; density of states at the Fermi level = 12.5 states/eV per cell; mass density = 6.321 g/cm³; DFT total energy = -50.647 eV for the cell shown; raw formation energy = -293.2 meV/atom
1.0
-2.1935 -2.7817 -2.5689
7.1607 -2.0227 -0.1538
-0.9824 -5.4101 6.7422
Pr Si Cu
6 2 2
Cartesian
3.3002 -1.9995 -0.4984 Pr
0.7704 -2.7843 2.4977 Pr
2.2600 -5.5185 0.4819 Pr
4.7906 -4.7332 -2.5147 Pr
-0.1510 -6.5785 3.7284 Pr
4.7277 -6.3498 2.9947 Pr
0.2617 -3.0029 -0.5553 Si
5.2988 -4.5134 0.5383 Si
2.1882 -7.7492 2.9610 Cu
2.3876 -5.1863 3.7651 Cu

---

[2]
GGA-PBE PrCu4Si4, relaxed; space group = P4_2/nmc; density of states at the Fermi level = 5.2 states/eV per cell; mass density = 5.956 g/cm³; DFT total energy = -88.783 eV for the cell shown; raw formation energy = -170.6 meV/atom
1.0
5.9078 0.0000 0.0000
0.0000 5.9078 0.0000
0.0000 0.0000 8.1074
Cu Pr Si
8 2 8
Cartesian
2.9539 1.4544 0.8101 Cu
0.0000 1.4996 3.2436 Cu
4.4083 0.0000 4.8638 Cu
4.4535 2.9539 7.2973 Cu
1.4996 0.0000 4.8638 Cu
2.9539 4.4535 0.8101 Cu
1.4544 2.9539 7.2973 Cu
0.0000 4.4083 3.2436 Cu
0.0000 0.0000 0.0000 Pr
2.9539 2.9539 4.0537 Pr
4.1203 0.0000 2.4743 Si
1.1664 2.9539 1.5794 Si
0.0000 1.7875 5.6331 Si
2.9539 1.1664 6.5280 Si
4.7414 2.9539 1.5794 Si
0.0000 4.1203 5.6331 Si
2.9539 4.7414 6.5280 Si
1.7875 0.0000 2.4743 Si

---

[3]
GGA-PBE Pr4CuSi3, relaxed; space group = Pmm2; density of states at the Fermi level = 6.2 states/eV per cell; mass density = 5.937 g/cm³; DFT total energy = -44.121 eV for the cell shown; raw formation energy = -579.7 meV/atom
1.0
-0.7049 -1.2163 4.1661
-3.7038 -1.2220 -0.9835
4.0000 -10.2579 -2.3180
Cu Pr Si
1 4 3
Cartesian
-1.9678 -1.8260 1.4542 Cu
2.2184 -7.2010 0.5932 Pr
-0.7624 -4.9171 0.7557 Pr
1.5856 -9.4264 -2.4838 Pr
0.5660 -1.4514 -0.3280 Pr
1.7389 -4.4592 -1.0077 Si
3.3748 -10.1668 -0.0770 Si
0.4290 -6.4603 -1.8135 Si

---

[4]
GGA-PBE Pr3Cu3Si, relaxed; space group = C2/m; density of states at the Fermi level = 11.5 states/eV per cell; mass density = 6.748 g/cm³; DFT total energy = -68.410 eV for the cell shown; raw formation energy = -307.8 meV/atom
1.0
-0.4570 2.7562 -3.1875
-5.4941 0.9426 -1.2154
-0.7366 11.9730 7.6405
Cu Pr Si
6 6 2
Cartesian
-4.9226 9.5216 0.4846 Cu
-1.3044 9.4039 5.5004 Cu
-1.1607 3.5297 -2.4178 Cu
-5.3834 6.2678 -2.2629 Cu
-5.5271 12.1420 5.6553 Cu
-1.7652 6.1502 2.7530 Cu
-1.8163 3.7655 0.6983 Pr
-4.2856 3.3005 -2.1680 Pr
-2.4185 9.0709 2.5540 Pr
-2.4022 12.3713 5.4055 Pr
-4.8714 11.9062 2.5393 Pr
-4.2693 6.6008 0.6835 Pr
-1.1854 6.8807 0.4834 Si
-5.5024 8.7911 2.7542 Si

---

[5]
GGA-PBE Pr3CuSi4, relaxed; space group = Immm; density of states at the Fermi level = 2.5 states/eV per cell; mass density = 5.178 g/cm³; DFT total energy = -43.999 eV for the cell shown; raw formation energy = -484.0 meV/atom
1.0
-2.3558 0.3591 -3.8864
0.5391 -5.5522 -0.8398
-5.4428 1.4141 6.1036
Pr Si Cu
3 4 1
Cartesian
-2.4552 -0.4571 1.4460 Pr
-4.8043 -3.3219 -0.0686 Pr
0.2695 -2.7761 -0.4199 Pr
-2.4979 -1.6856 -1.3154 Si
-4.9917 0.2775 3.0514 Si
-2.2677 -4.0565 -1.6741 Si
-4.7615 -2.0934 2.6927 Si
-1.1779 0.1796 -1.9432 Cu

---

[6]
GGA-PBE Pr2Cu5Si3, relaxed; space group = C2/c; density of states at the Fermi level = 11.3 states/eV per cell; mass density = 6.703 g/cm³; DFT total energy = -101.768 eV for the cell shown; raw formation energy = -457.5 meV/atom
1.0
5.5366 -0.0043 2.0175
3.0516 7.5981 0.2022
0.1419 -0.5631 8.1698
Cu Pr Si
10 4 6
Cartesian
2.1189 -0.1131 2.7581 Cu
3.1401 5.1746 8.5472 Cu
3.6758 5.4656 2.7875 Cu
2.2830 1.5590 6.6014 Cu
5.7472 3.5088 5.7044 Cu
6.6111 7.1438 7.6314 Cu
5.5900 1.8560 1.8423 Cu
6.4470 5.4716 3.7882 Cu
2.9828 3.5218 4.6851 Cu
5.0543 1.5651 7.6021 Cu
4.5908 0.7064 4.5822 Pr
4.1393 6.3242 5.8073 Pr
2.5528 2.7568 1.5739 Pr
6.1773 4.2739 8.8157 Pr
7.1797 5.4755 6.0566 Si
5.0461 3.5934 3.3497 Si
3.6840 3.4373 7.0398 Si
1.5279 -0.5591 8.6693 Si
7.2022 7.5898 1.7202 Si
1.5504 1.5552 4.3329 Si

---

[7]
GGA-PBE Pr3Cu2Si3, relaxed; space group = Cmcm; density of states at the Fermi level = 9.9 states/eV per cell; mass density = 6.273 g/cm³; DFT total energy = -86.731 eV for the cell shown; raw formation energy = -570.7 meV/atom
1.0
-2.1955 0.1747 3.7214
4.2679 -3.8388 0.1856
9.0784 10.3289 4.8710
Si Pr Cu
6 6 4
Cartesian
6.8527 6.4831 6.2509 Si
4.2982 0.1817 2.5272 Si
-0.0530 -0.3307 2.4967 Si
3.7812 4.0316 4.5539 Si
11.2039 6.9955 6.2814 Si
7.3697 2.6331 4.2242 Si
1.9523 1.7460 3.5822 Pr
2.5053 -1.8237 4.0761 Pr
6.1335 5.6304 3.3542 Pr
8.6455 8.4885 4.7020 Pr
5.0174 1.0343 5.4239 Pr
9.1986 4.9187 5.1958 Pr
9.0510 7.2807 7.5103 Cu
2.0999 -0.6159 1.2678 Cu
5.0287 2.7162 2.8392 Cu
6.1222 3.9485 5.9389 Cu

---

[8]
GGA-PBE PrCu3Si2, relaxed; space group = C2/m; density of states at the Fermi level = 5.5 states/eV per cell; mass density = 6.595 g/cm³; DFT total energy = -61.045 eV for the cell shown; raw formation energy = -434.7 meV/atom
1.0
-3.6469 1.3137 -0.9834
-0.3384 -7.6693 -0.8589
-1.0325 2.2043 6.7735
Cu Pr Si
6 2 4
Cartesian
-2.9295 0.8100 3.8145 Cu
-4.4913 -4.4821 2.5368 Cu
-2.0883 -4.9613 1.1167 Cu
-1.9360 -3.2086 2.8933 Cu
-3.0818 -0.9427 2.0379 Cu
-0.5265 0.3308 2.3944 Cu
-4.2838 -2.1796 4.8434 Pr
-0.7339 -1.9717 0.0877 Pr
-2.9256 -4.9212 4.2754 Si
-2.0922 0.7699 0.6558 Si
-1.4983 -1.1387 4.0354 Si
-3.5194 -3.0126 0.8958 Si

---

[9]
GGA-PBE Pr2CuSi, relaxed; space group = P2_1/m; density of states at the Fermi level = 7.1 states/eV per cell; mass density = 6.248 g/cm³; DFT total energy = -41.668 eV for the cell shown; raw formation energy = -438.9 meV/atom
1.0
4.1923 0.0000 0.0000
0.0000 6.0819 0.0220
0.0000 -3.0058 7.7748
Pr Si Cu
4 2 2
Cartesian
3.1442 -1.4650 7.0704 Pr
3.1442 0.0169 3.4729 Pr
1.0481 4.5411 0.7263 Pr
1.0481 3.0592 4.3238 Pr
3.1442 1.6138 6.1806 Si
1.0481 1.4623 1.6161 Si
1.0481 0.3543 5.6994 Cu
3.1442 2.7217 2.0973 Cu

---

[10]
GGA-PBE Pr2Cu2Si, relaxed; space group = C2/m; density of states at the Fermi level = 8.8 states/eV per cell; mass density = 6.442 g/cm³; DFT total energy = -50.105 eV for the cell shown; raw formation energy = -375.6 meV/atom
1.0
-4.1008 -0.0639 0.7825
-2.1892 -5.3511 -0.7708
-0.2198 -2.7352 9.7643
Pr Cu Si
4 4 2
Cartesian
-4.5571 -4.1089 9.2004 Pr
-3.4704 -2.3694 3.8983 Pr
-3.0395 -5.7808 5.8777 Pr
-1.9527 -4.0413 0.5755 Pr
-1.8521 -0.9274 1.3574 Cu
-5.4937 -4.7937 4.2359 Cu
-1.0162 -3.3565 5.5400 Cu
-4.6578 -7.2228 8.4185 Cu
-3.6238 -5.3948 2.8469 Si
-2.8861 -2.7554 6.9291 Si

---

[11]
GGA-PBE Pr3Cu4Si2, relaxed; space group = C2/m; density of states at the Fermi level = 4.9 states/eV per cell; mass density = 6.519 g/cm³; DFT total energy = -45.484 eV for the cell shown; raw formation energy = -435.0 meV/atom
1.0
-2.6194 2.8162 1.7450
2.4276 -3.4184 4.0499
5.6989 6.0942 -1.2806
Pr Si Cu
3 2 4
Cartesian
0.0000 0.0000 0.0000 Pr
2.6607 0.7021 2.8609 Pr
2.8464 4.7899 1.6534 Pr
0.5255 2.6758 1.5814 Si
4.9816 2.8162 2.9329 Si
2.3211 2.1184 0.0652 Cu
3.1860 3.3735 4.4491 Cu
-0.4765 0.9060 2.9335 Cu
5.9836 4.5859 1.5808 Cu

---

[12]
GGA-PBE PrCuSi2, relaxed; space group = Pnma; density of states at the Fermi level = 3.7 states/eV per cell; mass density = 5.866 g/cm³; DFT total energy = -176.345 eV for the cell shown; raw formation energy = -580.4 meV/atom
1.0
-3.5522 -1.9925 -0.3571
5.2256 -9.0346 -1.5718
-0.0300 -2.3611 13.4721
Pr Cu Si
8 8 16
Cartesian
4.1997 -11.2230 9.1416 Pr
-0.1862 -7.4691 8.4204 Pr
-1.3728 -6.0168 12.1199 Pr
1.8297 -5.9190 3.1229 Pr
3.0281 -8.5983 6.1513 Pr
-2.5562 -2.1651 2.4017 Pr
3.0162 -7.3714 -0.5767 Pr
-1.3846 -4.7899 5.3919 Pr
1.4689 -4.6985 -0.0983 Cu
2.6685 -8.5715 9.5790 Cu
0.1746 -8.6897 11.6416 Cu
2.2937 -11.1471 4.2727 Cu
-1.0250 -4.8166 1.9643 Cu
3.3610 -8.5624 2.6392 Cu
-1.7176 -4.8257 8.9041 Cu
-0.6503 -2.2411 7.2706 Cu
1.1830 -9.0764 3.7680 Si
0.3544 -2.9220 1.0756 Si
1.2890 -10.4662 10.4677 Si
2.4039 -11.7690 6.6462 Si
1.5598 -6.8373 10.9307 Si
-0.6818 -0.9328 0.2845 Si
1.1323 -8.5701 1.4474 Si
-0.7605 -1.6192 4.8971 Si
0.1419 -7.4740 5.1839 Si
2.3253 -12.4554 11.2588 Si
0.5112 -4.8181 10.0959 Si
1.5016 -5.9141 6.3594 Si
0.2933 -3.2350 3.4299 Si
0.0836 -6.5509 0.6126 Si
1.3502 -10.1532 8.1134 Si
0.4605 -4.3118 7.7753 Si

---

[13]
GGA-PBE PrSm2Cu2Si2, relaxed; space group = R-3m; density of states at the Fermi level = 3.5 states/eV per cell; mass density = 6.725 g/cm³; DFT total energy = -36.524 eV for the cell shown; raw formation energy = -466.8 meV/atom
1.0
4.2534 0.0000 0.0000
2.1267 3.6836 0.0000
2.1267 1.2279 9.8488
Cu Sm Si Pr
2 2 2 1
Cartesian
4.2534 2.4557 2.0304 Cu
4.2534 2.4557 7.8184 Cu
2.1267 1.2279 6.1096 Sm
6.3801 3.6836 3.7392 Sm
6.3801 3.6836 7.7840 Si
2.1267 1.2279 2.0647 Si
0.0000 0.0000 0.0000 Pr

---

[14]
GGA-PBE PrSmCuSi, relaxed; space group = Amm2; density of states at the Fermi level = 4.5 states/eV per cell; mass density = 6.574 g/cm³; energy above the lowest structure with this stoichiometry = 0.000 eV per atom; DFT total energy = -20.847 eV for the cell shown; raw formation energy = -457.3 meV/atom
1.0
-3.7573 1.2688 1.3628
-1.7877 -3.2087 -1.9414
2.4872 -3.7351 3.8830
Sm Pr Si Cu
1 1 1 1
Cartesian
0.1665 -0.8486 1.2491 Sm
-2.3414 -3.1665 2.9443 Pr
-2.6900 -1.3903 0.3296 Si
0.5369 -2.7358 4.0273 Cu

---

[15]
GGA-PBE PrSmCu2Si2, relaxed; space group = P-3m1; density of states at the Fermi level = 2.1 states/eV per cell; mass density = 6.500 g/cm³; DFT total energy = -32.268 eV for the cell shown; raw formation energy = -621.9 meV/atom
1.0
4.2165 0.0000 0.0000
-2.1082 3.6516 0.0000
0.0000 0.0000 7.8737
Cu Sm Si Pr
2 1 2 1
Cartesian
0.0000 2.4344 5.8380 Cu
2.1082 1.2172 2.0356 Cu
0.0000 0.0000 3.9368 Sm
0.0000 2.4344 2.0192 Si
2.1082 1.2172 5.8545 Si
0.0000 0.0000 0.0000 Pr

---

[16]
GGA-PBE PrSmCuSi, relaxed; space group = F-43m; density of states at the Fermi level = 3.6 states/eV per cell; mass density = 6.769 g/cm³; energy above the lowest structure with this stoichiometry = 0.090 eV per atom; DFT total energy = -20.487 eV for the cell shown; raw formation energy = -367.3 meV/atom
1.0
-1.9614 -3.4602 3.1960
2.8820 -1.9476 3.7330
-0.9297 1.2522 4.8582
Pr Sm Cu Si
1 1 1 1
Cartesian
0.0000 0.0000 0.0000 Pr
-0.0045 -2.0778 5.8936 Sm
-0.0023 -1.0389 2.9468 Cu
-0.0068 -3.1167 8.8404 Si

---

[17]
GGA-PBE TbPrCuSi, relaxed; space group = F-43m; density of states at the Fermi level = 3.3 states/eV per cell; mass density = 7.109 g/cm³; DFT total energy = -20.443 eV for the cell shown; raw formation energy = -378.5 meV/atom
1.0
-2.1928 3.8683 2.4084
0.7986 0.6780 4.9473
2.7988 3.8966 1.5988
Si Pr Cu Tb
1 1 1 1
Cartesian
0.3511 2.1107 2.2386 Si
0.7023 4.2215 4.4772 Pr
1.0534 6.3322 6.7158 Cu
0.0000 0.0000 0.0000 Tb

---

[18]
GGA-PBE TbPrCu2Si2, relaxed; space group = P-3m1; density of states at the Fermi level = 2.0 states/eV per cell; mass density = 6.776 g/cm³; DFT total energy = -32.281 eV for the cell shown; raw formation energy = -638.9 meV/atom
1.0
-3.9557 0.6487 -1.2594
1.1880 -3.8096 1.3155
-1.9977 1.8777 7.2417
Cu Pr Si Tb
2 1 2 1
Cartesian
-1.9911 -0.9470 5.7661 Cu
-2.7743 -0.3363 1.5317 Cu
0.0000 0.0000 0.0000 Pr
-1.0489 -1.8326 2.3506 Si
-3.7165 0.5493 4.9472 Si
-0.9989 0.9388 3.6209 Tb

---

[19]
GGA-PBE PrTmCuSi, relaxed; space group = F-43m; density of states at the Fermi level = 2.9 states/eV per cell; mass density = 7.487 g/cm³; DFT total energy = -20.263 eV for the cell shown; raw formation energy = -373.1 meV/atom
1.0
5.0123 0.0000 0.0000
2.5062 4.3408 0.0000
2.5062 1.4469 4.0926
Tm Cu Pr Si
1 1 1 1
Cartesian
0.0000 0.0000 0.0000 Tm
2.5062 1.4469 1.0231 Cu
5.0123 2.8939 2.0463 Pr
7.5185 4.3408 3.0694 Si

---

[20]
GGA-PBE PrYCuSi, relaxed; space group = F-43m; density of states at the Fermi level = 3.1 states/eV per cell; mass density = 5.848 g/cm³; DFT total energy = -22.317 eV for the cell shown; raw formation energy = -388.4 meV/atom
1.0
5.0537 0.0000 0.0000
2.5269 4.3767 0.0000
2.5269 1.4589 4.1264
Si Cu Y Pr
1 1 1 1
Cartesian
7.5806 4.3767 3.0948 Si
2.5269 1.4589 1.0316 Cu
5.0537 2.9178 2.0632 Y
0.0000 0.0000 0.0000 Pr

---

[21]
GGA-PBE PrZn2CuSi, relaxed; space group = Imm2; density of states at the Fermi level = 2.0 states/eV per cell; mass density = 6.667 g/cm³; DFT total energy = -18.964 eV for the cell shown; raw formation energy = -423.4 meV/atom
1.0
4.1677 0.0000 0.0000
0.0000 4.1440 0.0000
-2.0838 -2.0720 5.2399
Zn Cu Pr Si
2 1 1 1
Cartesian
0.0000 0.0000 0.6068 Zn
2.0838 0.0000 2.0101 Zn
0.0000 2.0720 2.1076 Cu
0.0000 0.0000 4.5924 Pr
2.0838 2.0720 3.3860 Si

---

[22]
GGA-PBE PrZn2Cu2Si, relaxed; space group = P4/mmm; density of states at the Fermi level = 2.8 states/eV per cell; mass density = 6.365 g/cm³; DFT total energy = -21.598 eV for the cell shown; raw formation energy = -109.3 meV/atom
1.0
4.4176 0.0000 0.0000
0.0000 4.4176 0.0000
0.0000 0.0000 5.7067
Zn Cu Pr Si
2 2 1 1
Cartesian
2.2088 2.2088 4.1602 Zn
2.2088 2.2088 1.5466 Zn
0.0000 2.2088 0.0000 Cu
2.2088 0.0000 0.0000 Cu
0.0000 0.0000 2.8534 Pr
0.0000 0.0000 0.0000 Si